Entry 1:
The following is a PBEsol calculation of a relaxed MnReNi crystal, from the Alexandria database.

a b c (Å): 2.6026 2.6026 6.1997
angles (deg): 90.00 90.00 120.00
Atoms (fractional coordinates):
Mn 0.0000 0.0000 0.9952
Re 0.6667 0.3333 0.3276
Ni 0.3333 0.6667 0.6773

Calculated values
calculated formation energy = 0.180 eV per atom
size of the total moment = 0.0 μB per cell
theoretical density = 13.69 g cm⁻³
E above lowest polymorph = 0.000 eV per atom


Entry 2:
The following is a PBEsol calculation of a relaxed MnNiRh2 crystal, from the Alexandria database.

a b c (Å): 3.7350 3.7334 4.4045
angles (deg): 115.08 115.09 90.00
Atoms (fractional coordinates):
Mn 0.5000 0.0000 0.0000
Ni 0.0000 0.5000 0.0000
Rh 0.7500 0.7500 0.5000
Rh 0.2500 0.2500 0.5000

Calculated values
calculated formation energy = -0.031 eV per atom
size of the total moment = 2.0 μB per cell
theoretical density = 10.79 g cm⁻³


Entry 3:
The following is a PBEsol calculation of a relaxed MnNi6Rh crystal, from the Alexandria database.

a b c (Å): 6.1251 6.1251 9.9981
angles (deg): 90.00 90.00 109.49
Atoms (fractional coordinates):
Ni 0.3770 0.1258 0.8764
Ni 0.6233 0.8722 0.3727
Ni 0.5000 0.5000 0.0000
Ni 0.6233 0.8722 0.6273
Ni 0.8722 0.6233 0.3727
Ni 0.1278 0.3767 0.3727
Ni 0.7494 0.2506 0.7517
Ni 0.2506 0.7494 0.2483
Ni 0.1278 0.3767 0.6273
Ni 0.8742 0.6230 0.1236
Ni 0.7494 0.2506 0.2483
Ni 0.3767 0.1278 0.3727
Ni 0.3770 0.1258 0.1236
Ni 0.3767 0.1278 0.6273
Ni 0.6230 0.8742 0.1236
Ni 0.1258 0.3770 0.1236
Ni 0.6230 0.8742 0.8764
Ni 0.5000 0.5000 0.5000
Ni 0.0000 0.0000 0.0000
Ni 0.8742 0.6230 0.8764
Ni 0.8722 0.6233 0.6273
Ni 0.2506 0.7494 0.7517
Ni 0.0000 0.0000 0.5000
Ni 0.1258 0.3770 0.8764
Mn 0.7496 0.2504 0.0000
Mn 0.5000 0.5000 0.7524
Mn 0.5000 0.5000 0.2476
Mn 0.2504 0.7496 0.0000
Rh 0.7490 0.2510 0.5000
Rh 0.0000 0.0000 0.2498
Rh 0.0000 0.0000 0.7502
Rh 0.2510 0.7490 0.5000

Calculated values
calculated formation energy = -0.002 eV per atom
size of the total moment = 30.0 μB per cell
theoretical density = 9.58 g cm⁻³


Entry 4:
The following is a PBEsol calculation of a relaxed MnNiRh crystal, from the Alexandria database.

a b c (Å): 3.9230 3.9230 3.9230
angles (deg): 60.00 60.00 60.00
Atoms (fractional coordinates):
Rh 0.0000 0.0000 0.0000
Mn 0.5000 0.5000 0.5000
Ni 0.2500 0.2500 0.2500

Calculated values
calculated formation energy = 0.517 eV per atom
size of the total moment = 3.2 μB per cell
theoretical density = 8.42 g cm⁻³


Entry 5:
The following is a PBEsol calculation of a relaxed MnNiRh2 crystal, from the Alexandria database.

a b c (Å): 2.6017 2.6017 8.4259
angles (deg): 81.12 81.12 60.00
Atoms (fractional coordinates):
Rh 0.2483 0.2483 0.2550
Rh 0.7517 0.7517 0.7450
Ni 0.0000 0.0000 0.0000
Mn 0.5000 0.5000 0.5000

Calculated values
calculated formation energy = 0.017 eV per atom
size of the total moment = 0.6 μB per cell
theoretical density = 10.91 g cm⁻³


Entry 6:
The following is a PBEsol calculation of a relaxed MnNiRh2 crystal, from the Alexandria database.

a b c (Å): 4.1762 4.1762 4.1762
angles (deg): 60.00 60.00 60.00
Atoms (fractional coordinates):
Ni 0.2500 0.2500 0.2500
Rh 0.0000 0.0000 0.0000
Rh 0.7500 0.7500 0.7500
Mn 0.5000 0.5000 0.5000

Calculated values
calculated formation energy = 0.203 eV per atom
size of the total moment = 3.9 μB per cell
theoretical density = 10.30 g cm⁻³


Entry 7:
The following is a PBEsol calculation of a relaxed MnNi2Rh crystal, from the Alexandria database.

a b c (Å): 3.5769 3.5769 4.3771
angles (deg): 114.12 114.12 90.00
Atoms (fractional coordinates):
Mn 0.2500 0.7500 0.5000
Ni 0.0000 0.0000 0.0000
Ni 0.7500 0.2500 0.5000
Rh 0.5000 0.5000 0.0000

Calculated values
calculated formation energy = -0.031 eV per atom
size of the total moment = 2.0 μB per cell
theoretical density = 10.00 g cm⁻³


Entry 8:
The following is a PBEsol calculation of a relaxed MnNi2Rh crystal, from the Alexandria database.

a b c (Å): 2.9704 2.9704 5.2854
angles (deg): 90.00 90.00 90.00
Atoms (fractional coordinates):
Rh 0.0000 0.0000 0.4974
Ni 0.0000 0.0000 0.0047
Ni 0.5000 0.5000 0.2326
Mn 0.5000 0.5000 0.7653

Calculated values
calculated formation energy = 0.052 eV per atom
size of the total moment = 2.9 μB per cell
theoretical density = 9.80 g cm⁻³